DFT (GGA-PBE) results for a relaxed KGaSi3 crystal.

Cell: 5.4784 5.4784 5.4784 Å, 90.00 90.00 90.00°
With the nearest neighbours (Å) after each atom.
Fractional positions:
K  0.0000  0.0000  0.0000  6 Si 2.74
Si  0.0000  0.5000  0.0000  2 K 2.74
Si  0.0000  0.0000  0.5000  2 K 2.74
Si  0.5000  0.0000  0.0000  2 K 2.74
Ga  0.5000  0.5000  0.5000  12 Si 3.87

## Properties
ΔE_f (raw): 1.96 eV/atom